Material: HgWSe
Method: DFT, PBE
State: relaxed

Calculated values
The value obtained for the density of states at the Fermi level is 3.0 states/eV per cell. As for the total magnetic moment: 0.0 μB per cell. The value obtained for the total DFT energy (no corrections) is -4.647 eV/atom. Its formation energy (no corrections) is 933 meV/atom.

a = 4.4782 Å, b = 4.4782 Å, c = 4.4782 Å
α = 60.00°, β = 60.00°, γ = 60.00°
With the nearest neighbours (Å) after each atom.
Element x y z (fractional)
Hg  0.0000  0.0000  0.0000  4 W 2.74
W  0.2500  0.2500  0.2500  4 Se 2.74, 4 Hg 2.74
Se  0.5000  0.5000  0.5000  4 W 2.74